(1)
# PBE SiPb2W, relaxed
data_SiPb2W
_space_group_name_H-M_alt 'P 1'
_space_group_IT_number 1
_space_group_name_Hall 'P 1'
_cell_length_a 7.402
_cell_length_b 7.402
_cell_length_c 7.402
_cell_angle_alpha 152.36
_cell_angle_beta 148.37
_cell_angle_gamma 42.50
loop_
_atom_site_label
_atom_site_type_symbol
_atom_site_fract_x
_atom_site_fract_y
_atom_site_fract_z
_atom_site_occupancy
Si1 Si 0.000 0.000 0.000 1
Pb1 Pb 0.413 0.413 0.000 1
Pb2 Pb 0.702 0.202 0.500 1
W1 W 0.122 0.622 0.500 1
# Energy = -5.726 eV/atom
# Formation energy without anion corrections = 2.889 eV/f.u.



(2)
# PBE Si2PbW, relaxed
data_Si2PbW
_space_group_name_H-M_alt 'P 1'
_space_group_IT_number 1
_space_group_name_Hall 'P 1'
_cell_length_a 4.471
_cell_length_b 4.471
_cell_length_c 6.362
_cell_angle_alpha 101.56
_cell_angle_beta 101.56
_cell_angle_gamma 41.84
loop_
_atom_site_label
_atom_site_type_symbol
_atom_site_fract_x
_atom_site_fract_y
_atom_site_fract_z
_atom_site_occupancy
Si1 Si 0.233 0.233 0.140 1
Si2 Si 0.767 0.767 0.860 1
Pb1 Pb 0.000 0.000 0.500 1
W1 W 0.500 0.500 0.000 1
# Energy = -6.481 eV/atom
# Formation energy without anion corrections = 1.582 eV/f.u.



(3)
# PBE Si2PbW, relaxed
data_Si2PbW
_space_group_name_H-M_alt 'P 1'
_space_group_IT_number 1
_space_group_name_Hall 'P 1'
_cell_length_a 4.618
_cell_length_b 4.618
_cell_length_c 3.330
_cell_angle_alpha 90.00
_cell_angle_beta 90.00
_cell_angle_gamma 90.00
loop_
_atom_site_label
_atom_site_type_symbol
_atom_site_fract_x
_atom_site_fract_y
_atom_site_fract_z
_atom_site_occupancy
Si1 Si 0.000 0.500 0.000 1
Si2 Si 0.500 0.000 0.000 1
Pb1 Pb 0.000 0.000 0.500 1
W1 W 0.500 0.500 0.500 1
# Energy = -5.984 eV/atom
# Formation energy without anion corrections = 3.573 eV/f.u.



(4)
# PBE SiPb2W, relaxed
data_SiPb2W
_space_group_name_H-M_alt 'P 1'
_space_group_IT_number 1
_space_group_name_Hall 'P 1'
_cell_length_a 10.676
_cell_length_b 10.676
_cell_length_c 10.676
_cell_angle_alpha 16.96
_cell_angle_beta 16.96
_cell_angle_gamma 16.96
loop_
_atom_site_label
_atom_site_type_symbol
_atom_site_fract_x
_atom_site_fract_y
_atom_site_fract_z
_atom_site_occupancy
Si1 Si 0.000 0.000 0.000 1
Pb1 Pb 0.244 0.244 0.244 1
Pb2 Pb 0.756 0.756 0.756 1
W1 W 0.500 0.500 0.500 1
# Energy = -5.493 eV/atom
# Formation energy without anion corrections = 3.820 eV/f.u.



(5)
# PBE Si2PbW, relaxed
data_Si2PbW
_space_group_name_H-M_alt 'P 1'
_space_group_IT_number 1
_space_group_name_Hall 'P 1'
_cell_length_a 3.308
_cell_length_b 3.308
_cell_length_c 7.103
_cell_angle_alpha 90.00
_cell_angle_beta 90.00
_cell_angle_gamma 90.00
loop_
_atom_site_label
_atom_site_type_symbol
_atom_site_fract_x
_atom_site_fract_y
_atom_site_fract_z
_atom_site_occupancy
Si1 Si 0.000 0.000 0.000 1
Si2 Si 0.500 0.500 0.195 1
Pb1 Pb 0.500 0.500 0.647 1
W1 W 0.000 0.000 0.338 1
# Energy = -6.422 eV/atom
# Formation energy without anion corrections = 1.818 eV/f.u.



(6)
# PBE Si3PbW, relaxed
data_Si3PbW
_space_group_name_H-M_alt 'P 1'
_space_group_IT_number 1
_space_group_name_Hall 'P 1'
_cell_length_a 5.027
_cell_length_b 5.027
_cell_length_c 5.027
_cell_angle_alpha 90.00
_cell_angle_beta 90.00
_cell_angle_gamma 90.00
loop_
_atom_site_label
_atom_site_type_symbol
_atom_site_fract_x
_atom_site_fract_y
_atom_site_fract_z
_atom_site_occupancy
Si1 Si 0.000 0.000 0.500 1
Si2 Si 0.000 0.500 0.000 1
Si3 Si 0.500 0.000 0.000 1
Pb1 Pb 0.000 0.000 0.000 1
W1 W 0.500 0.500 0.500 1
# Energy = -4.019 eV/atom
# Formation energy without anion corrections = 12.837 eV/f.u.